(1)
Pm6Pr2Nd3Mg | GGA-PBE | relaxed

Results
- Formation energy from the elements: 0.015 eV per atom

The structure in extended XYZ format:
```
12
Lattice="3.149 -5.457 0.000 3.149 5.457 0.000 -2.115 0.000 11.873" Properties=species:S:1:pos:R:3 pbc="T T T"
Pm 1.031 1.802 2.949
Pm -0.026 0.000 8.908
Pm 1.031 -1.802 2.949
Pm 3.152 1.802 8.923
Pm 4.210 0.000 2.965
Pm 3.152 -1.802 8.923
Pr 3.149 1.826 0.000
Pr 3.149 -1.826 0.000
Nd 2.092 3.638 5.936
Nd 2.092 0.000 5.936
Nd 2.092 -3.638 5.936
Mg 0.000 0.000 0.000
```


(2)
Al2Co2Tc | GGA-PBE | relaxed

Results
- Formation energy from the elements: -0.234 eV per atom

The structure in extended XYZ format:
```
10
Lattice="6.861 0.000 0.000 0.000 6.861 0.000 0.000 0.000 2.660" Properties=species:S:1:pos:R:3 pbc="T T T"
Al 0.936 2.495 0.000
Al 2.495 5.925 0.000
Al 4.366 0.936 0.000
Al 5.925 4.366 0.000
Co 1.111 4.541 1.330
Co 2.320 1.111 1.330
Co 4.541 5.750 1.330
Co 5.750 2.320 1.330
Tc 0.000 0.000 0.000
Tc 3.430 3.430 0.000
```


(3)
NbAlHRh2 | GGA-PBE | relaxed

The structure in extended XYZ format:
```
5
Lattice="3.989 0.000 0.000 0.000 3.989 0.000 0.000 0.000 3.993" Properties=species:S:1:pos:R:3 pbc="T T T"
Nb 0.000 0.000 0.000
Al 1.995 1.995 0.000
H 0.000 0.000 1.997
Rh 0.000 1.995 1.997
Rh 1.995 0.000 1.997
```


Looking at calculated total energy for the records above, in order, we have -4.482, -6.647, -6.741 eV/atom.
Looking at spin magnetization for the records above, in order, we have 0.00, 0.00, 0.00 μB/f.u..